Model 1:
Compound: GaPAuO2
Source: Alexandria
Functional: GGA-PBE
Structure: relaxed

Results
Calculated density: 6.5 g/cm3

Cell lengths 3.661, 3.661, 6.306 Å; angles 90.00, 90.00, 90.00 degrees
Fractional coordinates of all 5 atoms:
Ga1 0.000 0.000 0.000
P1 0.000 0.000 0.500
Au1 0.500 0.500 0.500
O1 0.500 0.000 0.000
O2 0.000 0.500 0.000

Model 2:
Compound: GaPAuO2
Source: Alexandria
Functional: GGA-PBE
Structure: relaxed

Results
Calculated density: 6.8 g/cm3

Cell lengths 3.992, 3.992, 5.074 Å; angles 90.00, 90.00, 90.00 degrees
Fractional coordinates of all 5 atoms:
Au1 0.000 0.000 0.000
P1 0.000 0.000 0.500
Ga1 0.500 0.500 0.500
O1 0.000 0.500 0.000
O2 0.500 0.000 0.000

Out of the structures above, which one is the least stable? Solution: model 2.